(1)
Material: RbMn2Te2
Method: DFT, GGA-PBEsol
State: optimized geometry

Unit cell a=4.3317 b=4.3317 c=8.1335 alpha=105.44 beta=105.44 gamma=90.00
With the nearest neighbours (Å) after each atom.
Element x y z (fractional)
Mn 0.2500 0.7500 0.5000  4 Te 2.71
Rb 0.0000 0.0000 0.0000  8 Te 3.74
Mn 0.7500 0.2500 0.5000  4 Te 2.71
Te 0.3580 0.3580 0.7161  4 Mn 2.71
Te 0.6420 0.6420 0.2839  4 Mn 2.71

Results
formation energy without anion corrections	-200	meV per atom
D(E_F)	4.1	states/eV/f.u.
size of the total moment	8.6	Bohr magnetons per cell


(2)
Material: RbMn3Te
Method: DFT, GGA-PBEsol
State: optimized geometry

Unit cell a=4.8697 b=4.8697 c=4.8697 alpha=90.00 beta=90.00 gamma=90.00
With the nearest neighbours (Å) after each atom.
Element x y z (fractional)
Mn 0.0000 0.0000 0.5000  2 Rb 2.43
Te 0.5000 0.5000 0.5000  12 Mn 3.44
Mn 0.0000 0.5000 0.0000  2 Rb 2.43
Mn 0.5000 0.0000 0.0000  2 Rb 2.43
Rb 0.0000 0.0000 0.0000  6 Mn 2.43

Results
formation energy without anion corrections	2269	meV per atom
D(E_F)	4.5	states/eV/f.u.
size of the total moment	11.4	Bohr magnetons per cell


(3)
Material: RbTiMn2
Method: DFT, GGA-PBEsol
State: optimized geometry

Unit cell a=4.8419 b=4.8419 c=4.8419 alpha=60.00 beta=60.00 gamma=60.00
With the nearest neighbours (Å) after each atom.
Element x y z (fractional)
Mn 0.2500 0.2500 0.2500  4 Rb 2.97, 4 Ti 2.97
Rb 0.5000 0.5000 0.5000  8 Mn 2.97
Mn 0.7500 0.7500 0.7500  4 Ti 2.97, 4 Rb 2.97
Ti 0.0000 0.0000 0.0000  8 Mn 2.97

Results
energy relative to the elements	1415	meV per atom
D(E_F)	3.1	states/eV/f.u.
size of the total moment	5.4	Bohr magnetons per cell


(4)
Material: RbTiMn3
Method: DFT, GGA-PBEsol
State: optimized geometry

Unit cell a=4.6548 b=4.6548 c=4.6548 alpha=90.00 beta=90.00 gamma=90.00
With the nearest neighbours (Å) after each atom.
Element x y z (fractional)
Mn 0.0000 0.0000 0.5000  2 Rb 2.33
Ti 0.5000 0.5000 0.5000  12 Mn 3.29
Rb 0.0000 0.0000 0.0000  6 Mn 2.33
Mn 0.0000 0.5000 0.0000  2 Rb 2.33
Mn 0.5000 0.0000 0.0000  2 Rb 2.33

Results
energy relative to the elements	2496	meV per atom
D(E_F)	5.6	states/eV/f.u.
size of the total moment	8.1	Bohr magnetons per cell


(5)
Material: RbMnTl3
Method: DFT, GGA-PBEsol
State: optimized geometry

Unit cell a=5.1836 b=5.1836 c=5.1836 alpha=90.00 beta=90.00 gamma=90.00
With the nearest neighbours (Å) after each atom.
Element x y z (fractional)
Tl 0.0000 0.5000 0.0000  2 Mn 2.59
Rb 0.5000 0.5000 0.5000  12 Tl 3.67
Mn 0.0000 0.0000 0.0000  6 Tl 2.59
Tl 0.0000 0.0000 0.5000  2 Mn 2.59
Tl 0.5000 0.0000 0.0000  2 Mn 2.59

Results
energy relative to the elements	181	meV per atom
D(E_F)	2.2	states/eV/f.u.
size of the total moment	1.2	Bohr magnetons per cell


(6)
Material: Mn2Re
Method: DFT, GGA-PBEsol
State: optimized geometry

Unit cell a=4.6098 b=4.6098 c=15.1090 alpha=90.00 beta=90.00 gamma=120.00
With the nearest neighbours (Å) after each atom.
Element x y z (fractional)
Mn 0.8414 0.6828 0.7500  6 Mn 2.19-2.42
Re 0.3333 0.6667 0.8433  12 Mn 2.69-2.72, 4 Re 2.82-2.84
Re 0.0000 0.0000 0.4092  12 Mn 2.68-2.72, 4 Re 2.74-2.84
Re 0.6667 0.3333 0.1567  12 Mn 2.69-2.72, 4 Re 2.82-2.84
Mn 0.6828 0.8414 0.2500  6 Mn 2.19-2.42
Re 0.0000 0.0000 0.0908  12 Mn 2.68-2.72, 4 Re 2.74-2.84
Mn 0.0000 0.5000 0.5000  6 Mn 2.30-2.36
Mn 0.5000 0.5000 0.5000  6 Mn 2.30-2.36
Re 0.6667 0.3333 0.3433  12 Mn 2.69-2.72, 4 Re 2.82-2.84
Mn 0.5000 0.0000 0.0000  6 Mn 2.30-2.36
Re 0.0000 0.0000 0.9092  12 Mn 2.68-2.72, 4 Re 2.74-2.84
Mn 0.6667 0.3333 0.8710  6 Mn 2.30-2.36
Mn 0.1586 0.3172 0.2500  6 Mn 2.19-2.42
Mn 0.1586 0.8414 0.2500  6 Mn 2.19-2.42
Mn 0.8414 0.1586 0.7500  6 Mn 2.19-2.42
Mn 0.3333 0.6667 0.3710  6 Mn 2.30-2.36
Re 0.0000 0.0000 0.5908  12 Mn 2.68-2.72, 4 Re 2.74-2.84
Mn 0.3172 0.1586 0.7500  6 Mn 2.19-2.42
Re 0.3333 0.6667 0.6567  12 Mn 2.69-2.72, 4 Re 2.82-2.84
Mn 0.5000 0.0000 0.5000  6 Mn 2.30-2.36
Mn 0.5000 0.5000 0.0000  6 Mn 2.30-2.36
Mn 0.0000 0.5000 0.0000  6 Mn 2.30-2.36
Mn 0.6667 0.3333 0.6290  6 Mn 2.30-2.36
Mn 0.3333 0.6667 0.1290  6 Mn 2.30-2.36

Results
energy relative to the elements	-131	meV per atom
D(E_F)	1.8	states/eV/f.u.
size of the total moment	0.0	Bohr magnetons per cell


(7)
Material: Mn3Re4
Method: DFT, GGA-PBEsol
State: optimized geometry

Unit cell a=4.6165 b=4.6165 c=4.8490 alpha=90.00 beta=90.00 gamma=120.00
With the nearest neighbours (Å) after each atom.
Element x y z (fractional)
Re 0.0000 0.0000 0.2534  2 Re 2.39-2.46, 6 Mn 2.61
Mn 0.5000 0.0000 0.0000  4 Mn 2.31
Mn 0.0000 0.5000 0.0000  4 Mn 2.31
Mn 0.5000 0.5000 0.0000  4 Mn 2.31
Re 0.3333 0.6667 0.5000  9 Re 2.67-2.92, 6 Mn 2.77
Re 0.6667 0.3333 0.5000  9 Re 2.67-2.92, 6 Mn 2.77
Re 0.0000 0.0000 0.7466  2 Re 2.39-2.46, 6 Mn 2.61

Results
energy relative to the elements	-33	meV per atom
D(E_F)	7.2	states/eV/f.u.
size of the total moment	0.0	Bohr magnetons per cell


(8)
Material: Mn3Re
Method: DFT, GGA-PBEsol
State: optimized geometry

Unit cell a=2.5945 b=4.3963 c=4.3963 alpha=108.02 beta=90.00 gamma=90.00
With the nearest neighbours (Å) after each atom.
Element x y z (fractional)
Mn 0.5000 0.0000 0.5000  4 Re 2.55, 8 Mn 2.55-2.59
Mn 0.5000 0.5000 0.0000  8 Mn 2.55-2.59, 4 Re 2.55
Re 0.0000 0.5000 0.5000  10 Mn 2.55-2.58, 2 Re 2.59
Mn 0.0000 0.0000 0.0000  10 Mn 2.55-2.59, 2 Re 2.58

Results
energy relative to the elements	116	meV per atom
D(E_F)	4.9	states/eV/f.u.
size of the total moment	0.9	Bohr magnetons per cell


(9)
Material: Mn3Re
Method: DFT, GGA-PBEsol
State: optimized geometry

Unit cell a=2.5300 b=4.7361 c=4.7361 alpha=116.90 beta=100.26 gamma=100.26
With the nearest neighbours (Å) after each atom.
Element x y z (fractional)
Mn 0.5000 0.5000 0.0000  6 Mn 2.48-2.53, 2 Re 2.48
Mn 0.5000 0.0000 0.5000  6 Mn 2.48-2.53, 2 Re 2.48
Re 0.0000 0.0000 0.0000  6 Mn 2.48, 2 Re 2.53
Mn 0.0000 0.5000 0.5000  6 Mn 2.48-2.53, 2 Re 2.48

Results
energy relative to the elements	179	meV per atom
D(E_F)	5.4	states/eV/f.u.
size of the total moment	3.9	Bohr magnetons per cell


(10)
Material: Mn24Re5
Method: DFT, GGA-PBEsol
State: optimized geometry

Unit cell a=7.4628 b=7.4628 c=7.4628 alpha=109.47 beta=109.47 gamma=109.47
With the nearest neighbours (Å) after each atom.
Element x y z (fractional)
Mn 0.3237 0.7132 0.3237  3 Mn 2.23-2.43, 1 Re 2.49
Mn 0.6252 0.6252 0.8199  6 Mn 2.20-2.43
Mn 0.6252 0.8199 0.6252  6 Mn 2.20-2.43
Mn 0.3748 0.1947 0.0000  6 Mn 2.20-2.43
Re 0.3670 0.3670 0.3670  12 Mn 2.49-2.77, 1 Re 2.74
Mn 0.3895 0.6763 0.0000  3 Mn 2.23-2.43, 1 Re 2.49
Mn 0.3895 0.0000 0.6763  3 Mn 2.23-2.43, 1 Re 2.49
Mn 0.6763 0.3895 0.0000  3 Mn 2.23-2.43, 1 Re 2.49
Mn 0.2868 0.6105 0.6105  3 Mn 2.23-2.43, 1 Re 2.49
Re 0.0000 0.6330 0.0000  12 Mn 2.49-2.77, 1 Re 2.74
Mn 0.8053 0.1801 0.8053  6 Mn 2.20-2.43
Mn 0.1947 0.3748 0.0000  6 Mn 2.20-2.43
Mn 0.0000 0.3895 0.6763  3 Mn 2.23-2.43, 1 Re 2.49
Mn 0.1947 0.0000 0.3748  6 Mn 2.20-2.43
Mn 0.0000 0.1947 0.3748  6 Mn 2.20-2.43
Mn 0.3748 0.0000 0.1947  6 Mn 2.20-2.43
Re 0.6330 0.0000 0.0000  12 Mn 2.49-2.77, 1 Re 2.74
Mn 0.6763 0.0000 0.3895  3 Mn 2.23-2.43, 1 Re 2.49
Mn 0.3237 0.3237 0.7132  3 Mn 2.23-2.43, 1 Re 2.49
Mn 0.0000 0.3748 0.1947  6 Mn 2.20-2.43
Mn 0.7132 0.3237 0.3237  3 Mn 2.23-2.43, 1 Re 2.49
Mn 0.8053 0.8053 0.1801  6 Mn 2.20-2.43
Mn 0.6105 0.6105 0.2868  3 Mn 2.23-2.43, 1 Re 2.49
Mn 0.6105 0.2868 0.6105  3 Mn 2.23-2.43, 1 Re 2.49
Mn 0.0000 0.6763 0.3895  3 Mn 2.23-2.43, 1 Re 2.49
Mn 0.8199 0.6252 0.6252  6 Mn 2.20-2.43
Mn 0.1801 0.8053 0.8053  6 Mn 2.20-2.43
Re 0.0000 0.0000 0.0000  12 Mn 2.69, 4 Re 2.74
Re 0.0000 0.0000 0.6330  12 Mn 2.49-2.77, 1 Re 2.74

Results
energy relative to the elements	-82	meV per atom
D(E_F)	30.1	states/eV/f.u.
size of the total moment	0.0	Bohr magnetons per cell


(11)
Material: Mn5Re
Method: DFT, GGA-PBEsol
State: optimized geometry

Unit cell a=4.5511 b=4.5511 c=4.5511 alpha=60.00 beta=60.00 gamma=60.00
With the nearest neighbours (Å) after each atom.
Element x y z (fractional)
Mn 0.3767 0.3767 0.3767  6 Mn 2.24-2.31
Re 0.0000 0.0000 0.0000  16 Mn 2.67-2.79
Mn 0.7500 0.7500 0.7500  12 Mn 2.67, 4 Re 2.79
Mn 0.8699 0.3767 0.3767  6 Mn 2.24-2.31
Mn 0.3767 0.8699 0.3767  6 Mn 2.24-2.31
Mn 0.3767 0.3767 0.8699  6 Mn 2.24-2.31

Results
energy relative to the elements	17	meV per atom
D(E_F)	3.1	states/eV/f.u.
size of the total moment	0.0	Bohr magnetons per cell


(12)
Material: MnRe5
Method: DFT, GGA-PBEsol
State: optimized geometry

Unit cell a=4.3776 b=4.7075 c=4.7075 alpha=120.00 beta=90.00 gamma=90.00
With the nearest neighbours (Å) after each atom.
Element x y z (fractional)
Re 0.5000 0.3333 0.6667  9 Re 2.70-2.72, 3 Mn 2.72
Re 0.0000 0.0000 0.6738  10 Re 2.66-2.75, 2 Mn 2.67
Re 0.0000 0.6738 0.0000  10 Re 2.66-2.75, 2 Mn 2.67
Re 0.0000 0.3262 0.3262  10 Re 2.66-2.75, 2 Mn 2.67
Re 0.5000 0.6667 0.3333  9 Re 2.70-2.72, 3 Mn 2.72
Mn 0.5000 0.0000 0.0000  12 Re 2.67-2.72

Results
energy relative to the elements	43	meV per atom
D(E_F)	6.1	states/eV/f.u.
energy above the lowest structure with this stoichiometry	0	meV/atom
size of the total moment	0.0	Bohr magnetons per cell